Entry 1:
A geometry-optimized Ta2PPtRh structure, computed with PBE-GGA.

Results
The space group is P4/mmm (123). Its energy of formation is 284 meV per atom.

Cell: 4.575 4.344 4.575 Å, 90.00 90.00 90.00°
Sites, in units of the cell vectors:
P (0.000, 0.000, 0.000)
Rh (0.500, 0.500, 0.500)
Pt (0.000, 0.500, 0.000)
Ta (0.000, 0.000, 0.500)
Ta (0.500, 0.000, 0.000)

***

Entry 2:
A geometry-optimized ThMgP structure, computed with PBE-GGA.

Results
The space group is R-3m (166). Its energy of formation is -647 meV per atom.

Cell: 4.916 4.916 8.223 Å, 72.61 72.61 60.00°
Sites, in units of the cell vectors:
Th (0.596, 0.596, 0.212)
Th (0.404, 0.404, 0.788)
P (0.282, 0.282, 0.154)
P (0.718, 0.718, 0.846)
Mg (0.830, 0.830, 0.509)
Mg (0.170, 0.170, 0.491)

***

Entry 3:
A geometry-optimized Sr2CaAs structure, computed with PBE-GGA.

Results
The space group is Amm2 (38). Its energy of formation is -601 meV per atom.

Cell: 4.251 4.881 7.950 Å, 72.12 90.00 90.00°
Sites, in units of the cell vectors:
Sr (0.000, 0.930, 0.015)
Sr (0.500, 0.263, 0.350)
As (0.000, 0.723, 0.429)
Ca (0.500, 0.584, 0.706)

***

Entry 4:
A geometry-optimized Sm3Dy5Er4 structure, computed with PBE-GGA.

Results
The space group is C2/m (12). Its energy of formation is 241 meV per atom.

Cell: 5.873 8.501 9.619 Å, 106.02 72.22 69.79°
Sites, in units of the cell vectors:
Sm (0.521, 0.686, 0.271)
Sm (0.000, 0.500, 0.500)
Sm (0.479, 0.314, 0.729)
Dy (0.623, 0.951, 0.803)
Dy (0.500, 0.500, 0.500)
Dy (0.215, 0.458, 0.112)
Dy (0.785, 0.542, 0.888)
Dy (0.377, 0.049, 0.197)
Er (0.860, 0.221, 0.059)
Er (0.166, 0.044, 0.623)
Er (0.834, 0.956, 0.377)
Er (0.140, 0.779, 0.941)

***

Entry 5:
A geometry-optimized PuAl3CuAu structure, computed with PBE-GGA.

Results
The space group is Cmcm (63). Its energy of formation is -163 meV per atom.

Cell: 5.869 6.075 7.048 Å, 115.53 90.00 90.00°
Sites, in units of the cell vectors:
Pu (0.750, 0.291, 0.583)
Pu (0.250, 0.709, 0.417)
Al (0.250, 0.133, 0.267)
Al (0.000, 0.285, 0.000)
Al (0.500, 0.715, 0.000)
Al (0.500, 0.285, 0.000)
Al (0.000, 0.715, 0.000)
Al (0.750, 0.867, 0.733)
Cu (0.250, 0.923, 0.847)
Cu (0.750, 0.077, 0.153)
Au (0.250, 0.342, 0.685)
Au (0.750, 0.658, 0.315)

***

Entry 6:
A geometry-optimized AcLaPmTh structure, computed with PBE-GGA.

Results
The space group is F-43m (216). Its energy of formation is 210 meV per atom.

Cell: 5.933 5.933 5.933 Å, 60.00 60.00 60.00°
Sites, in units of the cell vectors:
Ac (0.000, 0.000, 0.000)
La (0.250, 0.250, 0.250)
Th (0.500, 0.500, 0.500)
Pm (0.750, 0.750, 0.750)

***

Entry 7:
A geometry-optimized ScCoMo2 structure, computed with PBE-GGA.

Results
The space group is Imm2 (44). Its energy of formation is 135 meV per atom.

Cell: 5.089 5.089 5.089 Å, 143.02 126.38 66.92°
Sites, in units of the cell vectors:
Co (0.762, 0.262, 0.500)
Mo (0.000, 0.000, 0.000)
Mo (0.233, 0.733, 0.500)
Sc (0.505, 0.505, 0.000)

***

Entry 8:
A geometry-optimized K2ReF7 structure, computed with PBE-GGA.

Results
As for the uncorrected formation energy: -2.482 eV/atom. The space group is C2/c (15).

Cell: 6.561 7.509 8.225 Å, 82.54 66.49 64.10°
Sites, in units of the cell vectors:
K (0.571, 0.924, 0.733)
K (0.771, 0.424, 0.233)
K (0.229, 0.576, 0.767)
K (0.429, 0.076, 0.267)
Re (0.944, 0.250, 0.750)
Re (0.056, 0.750, 0.250)
F (0.778, 0.539, 0.804)
F (0.880, 0.039, 0.304)
F (0.245, 0.795, 0.008)
F (0.270, 0.249, 0.596)
F (0.642, 0.250, 0.750)
F (0.952, 0.295, 0.508)
F (0.114, 0.251, 0.904)
F (0.886, 0.749, 0.096)
F (0.048, 0.705, 0.492)
F (0.358, 0.750, 0.250)
F (0.730, 0.751, 0.404)
F (0.755, 0.205, 0.992)
F (0.120, 0.961, 0.696)
F (0.222, 0.461, 0.196)

***

Entry 9:
A geometry-optimized YMg2Se structure, computed with PBE-GGA.

Results
As for the uncorrected formation energy: -0.512 eV/atom. The space group is I-42d (122).

Cell: 8.452 8.452 6.629 Å, 50.39 50.39 90.00°
Sites, in units of the cell vectors:
Y (0.000, 0.000, 0.000)
Y (0.750, 0.250, 0.500)
Mg (0.571, 0.125, 0.250)
Mg (0.179, 0.625, 0.250)
Mg (0.375, 0.429, 0.750)
Mg (0.875, 0.821, 0.750)
Se (0.500, 0.500, 0.000)
Se (0.250, 0.750, 0.500)

***

Entry 10:
A geometry-optimized PrScCd6 structure, computed with PBE-GGA.

Results
The space group is P4/mmm (123). Its energy of formation is -221 meV per atom.

Cell: 4.657 4.657 8.871 Å, 90.00 90.00 90.00°
Sites, in units of the cell vectors:
Pr (0.000, 0.000, 0.000)
Sc (0.000, 0.000, 0.500)
Cd (0.500, 0.500, 0.000)
Cd (0.500, 0.500, 0.500)
Cd (0.500, 0.000, 0.266)
Cd (0.500, 0.000, 0.734)
Cd (0.000, 0.500, 0.266)
Cd (0.000, 0.500, 0.734)

***

Entry 11:
A geometry-optimized Mg3Cd2Ag3Hg structure, computed with PBE-GGA.

Results
The space group is P-62m (189). Its energy of formation is -111 meV per atom.

Cell: 3.114 8.143 8.143 Å, 120.00 90.00 90.00°
Sites, in units of the cell vectors:
Mg (0.500, 0.703, 0.000)
Mg (0.500, 0.000, 0.703)
Mg (0.500, 0.297, 0.297)
Cd (0.500, 0.667, 0.333)
Cd (0.500, 0.333, 0.667)
Ag (0.000, 0.630, 0.630)
Ag (0.000, 0.000, 0.370)
Ag (0.000, 0.370, 0.000)
Hg (0.000, 0.000, 0.000)

***

Entry 12:
A geometry-optimized ZnCo2Hg structure, computed with PBE-GGA.

Results
The space group is I-4m2 (119). Its energy of formation is 322 meV per atom.

Cell: 4.667 4.667 4.667 Å, 131.16 131.16 71.56°
Sites, in units of the cell vectors:
Co (0.000, 0.000, 0.000)
Co (0.250, 0.750, 0.500)
Hg (0.500, 0.500, 0.000)
Zn (0.750, 0.250, 0.500)

***

no.,total DFT energy (no corrections) (Ry/atom),magnetic moment (μB/atom)
1,-0.6039,0.000
2,-0.4009,0.000
3,-0.2282,0.157
4,-0.3218,0.022
5,-0.4154,0.993
6,-0.3742,0.005
7,-0.6350,0.276
8,-0.3863,0.200
9,-0.2790,0.000
10,-0.1688,0.000
11,-0.1345,0.000
12,-0.2664,0.688